(1)
{"formula": "Li5H4Rh", "functional": "PBE", "state": "relaxed", "lattice": [[2.789, 0.000, 0.891], [0.468, 6.434, 3.348], [-0.695, 1.869, 6.989]], "species": ["Li", "Li", "H", "Rh", "H", "Li", "H", "H", "Li", "Li"], "frac_coords": [[0.895, 0.066, 0.644], [0.895, 0.644, 0.066], [0.118, 0.132, 0.132], [0.250, 0.000, 0.000], [0.250, 0.715, 0.285], [0.605, 0.356, 0.934], [0.250, 0.285, 0.715], [0.382, 0.868, 0.868], [0.605, 0.934, 0.356], [0.750, 0.500, 0.500]], "e_tot_ev_per_atom": -3.278}

***

(2)
{"formula": "SmNp3Tl4Te8", "functional": "PBE", "state": "relaxed", "lattice": [[-4.822, -5.186, -5.552], [-2.123, -5.920, 7.373], [-2.035, 8.725, 0.909]], "species": ["Te", "Te", "Te", "Tl", "Np", "Te", "Te", "Sm", "Te", "Np", "Tl", "Tl", "Np", "Tl", "Te", "Te"], "frac_coords": [[0.240, 0.716, 0.977], [0.738, 0.713, 0.475], [0.262, 0.287, 0.525], [0.000, 0.000, 0.500], [0.000, 0.500, 0.500], [0.240, 0.716, 0.479], [0.760, 0.284, 0.023], [0.000, 0.500, 0.000], [0.760, 0.284, 0.521], [0.500, 0.500, 0.000], [0.500, 0.000, 0.000], [0.000, 0.000, 0.000], [0.500, 0.500, 0.500], [0.500, 0.000, 0.500], [0.263, 0.284, 0.023], [0.737, 0.716, 0.977]], "formation_energy_uncorrected_ev_per_fu": -10.97}

***

(3)
{"formula": "SrCdHgAu", "functional": "PBE", "state": "relaxed", "lattice": [[-1.684, -0.978, -3.842], [-2.414, -3.058, 1.837], [-8.580, 7.834, 1.768]], "species": ["Au", "Sr", "Hg", "Au", "Sr", "Cd", "Hg", "Cd"], "frac_coords": [[0.000, 0.500, 0.076], [0.000, 0.500, 0.810], [0.000, 0.500, 0.322], [0.500, 0.000, 0.924], [0.500, 0.000, 0.190], [0.500, 0.500, 0.500], [0.500, 0.000, 0.678], [0.000, 0.000, 0.500]], "e_form_ev_per_atom": -0.389}

***

(4)
{"formula": "Sr3In3Ni2", "functional": "PBE", "state": "relaxed", "lattice": [[-3.954, -0.773, -1.917], [2.890, -5.402, 1.411], [-7.303, 0.025, 15.057]], "species": ["Ni", "In", "Sr", "In", "In", "In", "Sr", "Sr", "Sr", "In", "Ni", "Ni", "Sr", "Sr", "Ni", "In"], "frac_coords": [[0.766, 0.531, 0.888], [0.351, 0.703, 0.250], [0.944, 0.889, 0.107], [0.649, 0.297, 0.750], [0.334, 0.667, 0.962], [0.666, 0.333, 0.462], [0.352, 0.703, 0.750], [0.056, 0.111, 0.893], [0.648, 0.297, 0.250], [0.666, 0.333, 0.038], [0.234, 0.469, 0.388], [0.234, 0.469, 0.112], [0.944, 0.889, 0.393], [0.056, 0.111, 0.607], [0.766, 0.531, 0.612], [0.334, 0.667, 0.538]], "e_form_ev_per_atom": -0.290}

***

(5)
{"formula": "Sr3Cu2BiO6", "functional": "PBE", "state": "relaxed", "lattice": [[-3.753, -4.705, 0.736], [5.731, -0.360, 1.947], [-1.808, 2.343, 5.755]], "species": ["O", "Sr", "Sr", "O", "O", "O", "Cu", "Cu", "Bi", "Sr", "O", "O"], "frac_coords": [[0.660, 0.830, 0.295], [0.667, 0.333, 0.382], [0.333, 0.667, 0.618], [0.170, 0.340, 0.295], [0.830, 0.660, 0.705], [0.830, 0.170, 0.705], [0.667, 0.333, 0.849], [0.333, 0.667, 0.151], [0.000, 0.000, 0.500], [0.000, 0.000, 0.000], [0.170, 0.830, 0.295], [0.340, 0.170, 0.705]], "formation_energy_uncorrected_ev_per_fu": -18.25}

***

(6)
{"formula": "KCoPbCl6", "functional": "PBE", "state": "relaxed", "lattice": [[-1.027, 3.512, -5.859], [-6.147, 2.888, -1.264], [2.039, 5.668, 3.040]], "species": ["Cl", "Cl", "Pb", "Cl", "Cl", "Co", "K", "Cl", "Cl"], "frac_coords": [[0.341, 0.611, 0.291], [0.048, 0.611, 0.709], [0.667, 0.667, 0.500], [0.341, 0.048, 0.709], [0.611, 0.048, 0.291], [0.333, 0.333, 0.500], [0.000, 0.000, 0.000], [0.611, 0.341, 0.709], [0.048, 0.341, 0.291]], "formation_energy_uncorrected_ev_per_fu": -9.12}

***

(7)
{"formula": "Pa2CuH", "functional": "PBE", "state": "relaxed", "lattice": [[-2.655, -0.859, 1.300], [1.445, -0.399, 2.689], [-1.302, 6.558, 1.674]], "species": ["H", "Pa", "Cu", "Pa"], "frac_coords": [[0.500, 0.500, 0.000], [0.000, 0.000, 0.207], [0.500, 0.500, 0.500], [0.000, 0.000, 0.793]], "e_tot_ev_per_atom": -6.436}

***

(8)
{"formula": "AcEuSb4", "functional": "PBE", "state": "relaxed", "lattice": [[-4.520, -3.395, -3.058], [1.099, -6.135, -1.567], [-3.112, -4.709, 3.073]], "species": ["Sb", "Sb", "Sb", "Eu", "Ac", "Sb"], "frac_coords": [[0.626, 0.626, 0.123], [0.626, 0.123, 0.626], [0.123, 0.626, 0.626], [0.000, 0.000, 0.000], [0.250, 0.250, 0.250], [0.626, 0.626, 0.626]], "formation_energy_uncorrected_ev_per_fu": -2.66}